1 | First-principles (PBE) data for crystalline Tl2Pd6Au at its relaxed geometry, as listed in Alexandria.

Output
Space-group type: C2/m (12)
Magnetization (Bohr magnetons per cell): 0.00

a = 7.447 Å, b = 7.447 Å, c = 4.422 Å
α = 107.13°, β = 107.13°, γ = 45.05°
Atoms (fractional coordinates):
Tl1 0.159 0.159 0.160
Tl2 0.841 0.841 0.840
Pd1 0.158 0.634 0.395
Pd2 0.291 0.291 0.791
Pd3 0.366 0.842 0.605
Pd4 0.634 0.158 0.395
Pd5 0.709 0.709 0.209
Pd6 0.842 0.366 0.605
Au1 0.500 0.500 0.000

***

2 | First-principles (PBE) data for crystalline Tl2Pd6Au at its relaxed geometry, as listed in Alexandria.

Output
Space-group type: Fmmm (69)
Magnetization (Bohr magnetons per cell): 0.00

a = 8.493 Å, b = 7.643 Å, c = 5.047 Å
α = 81.23°, β = 62.80°, γ = 35.96°
Atoms (fractional coordinates):
Tl1 0.162 0.162 0.838
Tl2 0.838 0.838 0.162
Pd1 0.168 0.497 0.503
Pd2 0.169 0.831 0.169
Pd3 0.497 0.168 0.832
Pd4 0.503 0.832 0.168
Pd5 0.831 0.169 0.831
Pd6 0.832 0.503 0.497
Au1 0.500 0.500 0.500

***

Winner for stability: 2

***

1 | First-principles (PBE) data for crystalline Tl3Pd6Au at its relaxed geometry, as listed in Alexandria.

Output
Space-group type: Cmc2_1 (36)
Magnetization (Bohr magnetons per cell): 0.00

a = 8.828 Å, b = 8.828 Å, c = 4.941 Å
α = 90.00°, β = 90.00°, γ = 98.69°
Atoms (fractional coordinates):
Tl1 0.130 0.870 0.500
Tl2 0.194 0.384 0.154
Tl3 0.384 0.194 0.654
Tl4 0.616 0.806 0.154
Tl5 0.806 0.616 0.654
Tl6 0.870 0.130 0.000
Pd1 0.066 0.181 0.547
Pd2 0.085 0.496 0.675
Pd3 0.181 0.066 0.047
Pd4 0.241 0.759 0.960
Pd5 0.449 0.551 0.914
Pd6 0.496 0.085 0.175
Pd7 0.504 0.915 0.675
Pd8 0.551 0.449 0.414
Pd9 0.759 0.241 0.460
Pd10 0.819 0.934 0.547
Pd11 0.915 0.504 0.175
Pd12 0.934 0.819 0.047
Au1 0.345 0.655 0.438
Au2 0.655 0.345 0.938

***

2 | First-principles (PBE) data for crystalline Tl3Pd6Au at its relaxed geometry, as listed in Alexandria.

Output
Space-group type: P2_1/m (11)
Magnetization (Bohr magnetons per cell): 0.00

a = 8.146 Å, b = 4.736 Å, c = 9.991 Å
α = 90.00°, β = 110.69°, γ = 90.00°
Atoms (fractional coordinates):
Tl1 0.058 0.250 0.222
Tl2 0.310 0.250 0.028
Tl3 0.338 0.750 0.374
Tl4 0.662 0.250 0.626
Tl5 0.690 0.750 0.972
Tl6 0.942 0.750 0.778
Pd1 0.111 0.250 0.732
Pd2 0.117 0.750 0.078
Pd3 0.282 0.250 0.522
Pd4 0.310 0.750 0.864
Pd5 0.492 0.250 0.828
Pd6 0.493 0.750 0.670
Pd7 0.507 0.250 0.330
Pd8 0.508 0.750 0.172
Pd9 0.690 0.250 0.136
Pd10 0.718 0.750 0.478
Pd11 0.883 0.250 0.922
Pd12 0.889 0.750 0.268
Au1 0.109 0.750 0.560
Au2 0.891 0.250 0.440

***

Winner for stability: 2

***

1 | First-principles (PBE) data for crystalline TlPd3Au at its relaxed geometry, as listed in Alexandria.

Output
Space-group type: Pm-3m (221)
Magnetization (Bohr magnetons per cell): 0.00

a = 5.029 Å, b = 5.029 Å, c = 5.029 Å
α = 90.00°, β = 90.00°, γ = 90.00°
Atoms (fractional coordinates):
Tl1 0.000 0.000 0.000
Pd1 0.000 0.500 0.500
Pd2 0.500 0.000 0.500
Pd3 0.500 0.500 0.000
Au1 0.500 0.500 0.500

***

2 | First-principles (PBE) data for crystalline TlPd3Au at its relaxed geometry, as listed in Alexandria.

Output
Space-group type: Cmcm (63)
Magnetization (Bohr magnetons per cell): 0.00

a = 6.259 Å, b = 6.259 Å, c = 5.427 Å
α = 90.00°, β = 90.00°, γ = 107.80°
Atoms (fractional coordinates):
Tl1 0.215 0.785 0.750
Tl2 0.785 0.215 0.250
Pd1 0.151 0.210 0.750
Pd2 0.210 0.151 0.250
Pd3 0.265 0.735 0.250
Pd4 0.735 0.265 0.750
Pd5 0.790 0.849 0.750
Pd6 0.849 0.790 0.250
Au1 0.500 0.500 0.000
Au2 0.500 0.500 0.500

***

3 | First-principles (PBE) data for crystalline TlPd3Au at its relaxed geometry, as listed in Alexandria.

Output
Space-group type: C2/c (15)
Magnetization (Bohr magnetons per cell): 0.00

a = 7.273 Å, b = 7.273 Å, c = 9.187 Å
α = 120.63°, β = 120.63°, γ = 69.54°
Atoms (fractional coordinates):
Tl1 0.009 0.991 0.750
Tl2 0.374 0.626 0.250
Tl3 0.626 0.374 0.750
Tl4 0.991 0.009 0.250
Pd1 0.049 0.364 0.085
Pd2 0.099 0.740 0.436
Pd3 0.260 0.901 0.064
Pd4 0.293 0.298 0.399
Pd5 0.298 0.293 0.899
Pd6 0.364 0.049 0.585
Pd7 0.636 0.951 0.415
Pd8 0.702 0.707 0.101
Pd9 0.707 0.702 0.601
Pd10 0.740 0.099 0.936
Pd11 0.901 0.260 0.564
Pd12 0.951 0.636 0.915
Au1 0.175 0.542 0.700
Au2 0.458 0.825 0.800
Au3 0.542 0.175 0.200
Au4 0.825 0.458 0.300

***

Winner for stability: 3

***

1 | First-principles (PBE) data for crystalline Tl4PdAu at its relaxed geometry, as listed in Alexandria.

Output
Space-group type: C2/c (15)
Magnetization (Bohr magnetons per cell): 0.00

a = 6.823 Å, b = 6.823 Å, c = 8.391 Å
α = 113.97°, β = 113.97°, γ = 89.20°
Atoms (fractional coordinates):
Tl1 0.003 0.242 0.002
Tl2 0.238 0.499 0.498
Tl3 0.242 0.003 0.502
Tl4 0.499 0.238 0.998
Tl5 0.501 0.762 0.002
Tl6 0.758 0.997 0.498
Tl7 0.762 0.501 0.502
Tl8 0.997 0.758 0.998
Pd1 0.125 0.875 0.750
Pd2 0.875 0.125 0.250
Au1 0.375 0.625 0.250
Au2 0.625 0.375 0.750

***

2 | First-principles (PBE) data for crystalline Tl4PdAu at its relaxed geometry, as listed in Alexandria.

Output
Space-group type: C2/c (15)
Magnetization (Bohr magnetons per cell): 0.00

a = 7.606 Å, b = 7.606 Å, c = 5.893 Å
α = 97.44°, β = 97.44°, γ = 112.61°
Atoms (fractional coordinates):
Tl1 0.078 0.709 0.950
Tl2 0.222 0.383 0.603
Tl3 0.291 0.922 0.550
Tl4 0.383 0.222 0.103
Tl5 0.617 0.778 0.897
Tl6 0.709 0.078 0.450
Tl7 0.778 0.617 0.397
Tl8 0.922 0.291 0.050
Pd1 0.005 0.995 0.250
Pd2 0.995 0.005 0.750
Au1 0.375 0.625 0.250
Au2 0.625 0.375 0.750

***

Winner for stability: 1

***

1 | First-principles (PBE) data for crystalline TlPd5Au at its relaxed geometry, as listed in Alexandria.

Output
Space-group type: Imm2 (44)
Magnetization (Bohr magnetons per cell): 0.00

a = 7.459 Å, b = 8.748 Å, c = 5.240 Å
α = 90.00°, β = 90.00°, γ = 90.00°
Atoms (fractional coordinates):
Tl1 0.000 0.000 0.000
Tl2 0.500 0.500 0.500
Pd1 0.000 0.000 0.493
Pd2 0.000 0.261 0.696
Pd3 0.000 0.739 0.696
Pd4 0.175 0.500 0.865
Pd5 0.325 0.000 0.365
Pd6 0.500 0.239 0.196
Pd7 0.500 0.500 0.993
Pd8 0.500 0.761 0.196
Pd9 0.675 0.000 0.365
Pd10 0.825 0.500 0.865
Au1 0.000 0.500 0.347
Au2 0.500 0.000 0.847

***

2 | First-principles (PBE) data for crystalline TlPd5Au at its relaxed geometry, as listed in Alexandria.

Output
Space-group type: P4/mmm (123)
Magnetization (Bohr magnetons per cell): 0.00

a = 3.928 Å, b = 3.928 Å, c = 8.184 Å
α = 90.00°, β = 90.00°, γ = 90.00°
Atoms (fractional coordinates):
Tl1 0.000 0.000 0.000
Pd1 0.000 0.000 0.500
Pd2 0.000 0.500 0.246
Pd3 0.000 0.500 0.754
Pd4 0.500 0.000 0.246
Pd5 0.500 0.000 0.754
Au1 0.500 0.500 0.500

***

Winner for stability: 2

***

1 | First-principles (PBE) data for crystalline TlPd8Au2 at its relaxed geometry, as listed in Alexandria.

Output
Space-group type: C2/m (12)
Magnetization (Bohr magnetons per cell): 0.00

a = 7.250 Å, b = 7.250 Å, c = 5.490 Å
α = 104.82°, β = 104.82°, γ = 43.24°
Atoms (fractional coordinates):
Tl1 0.000 0.000 0.000
Pd1 0.161 0.656 0.327
Pd2 0.255 0.255 0.962
Pd3 0.344 0.839 0.673
Pd4 0.421 0.421 0.788
Pd5 0.579 0.579 0.212
Pd6 0.656 0.161 0.327
Pd7 0.745 0.745 0.038
Pd8 0.839 0.344 0.673
Au1 0.221 0.221 0.424
Au2 0.779 0.779 0.576

***

2 | First-principles (PBE) data for crystalline TlPd8Au2 at its relaxed geometry, as listed in Alexandria.

Output
Space-group type: C2/m (12)
Magnetization (Bohr magnetons per cell): 0.00

a = 7.515 Å, b = 7.515 Å, c = 6.403 Å
α = 105.41°, β = 105.41°, γ = 31.31°
Atoms (fractional coordinates):
Tl1 0.000 0.000 0.000
Pd1 0.090 0.090 0.457
Pd2 0.182 0.182 0.909
Pd3 0.363 0.363 0.819
Pd4 0.454 0.454 0.277
Pd5 0.546 0.546 0.723
Pd6 0.637 0.637 0.181
Pd7 0.818 0.818 0.091
Pd8 0.910 0.910 0.543
Au1 0.273 0.273 0.361
Au2 0.727 0.727 0.639

***

Winner for stability: 2

***

1 | First-principles (PBE) data for crystalline Tl2Pd7Au3 at its relaxed geometry, as listed in Alexandria.

Output
Space-group type: P2/m (10)
Magnetization (Bohr magnetons per cell): 0.00

a = 3.875 Å, b = 4.018 Å, c = 14.609 Å
α = 90.00°, β = 97.38°, γ = 90.00°
Atoms (fractional coordinates):
Tl1 0.138 0.000 0.280
Tl2 0.862 0.000 0.720
Pd1 0.069 0.500 0.142
Pd2 0.286 0.000 0.573
Pd3 0.431 0.000 0.857
Pd4 0.500 0.500 0.000
Pd5 0.569 0.000 0.143
Pd6 0.714 0.000 0.427
Pd7 0.931 0.500 0.858
Au1 0.000 0.000 0.000
Au2 0.213 0.500 0.426
Au3 0.787 0.500 0.574

***

2 | First-principles (PBE) data for crystalline Tl2Pd7Au3 at its relaxed geometry, as listed in Alexandria.

Output
Space-group type: C2/m (12)
Magnetization (Bohr magnetons per cell): 0.00

a = 10.448 Å, b = 10.448 Å, c = 4.763 Å
α = 92.89°, β = 92.89°, γ = 153.30°
Atoms (fractional coordinates):
Tl1 0.147 0.853 0.000
Tl2 0.853 0.147 0.000
Pd1 0.000 0.000 0.000
Pd2 0.072 0.928 0.500
Pd3 0.284 0.716 0.000
Pd4 0.427 0.573 0.000
Pd5 0.573 0.427 0.000
Pd6 0.716 0.284 0.000
Pd7 0.928 0.072 0.500
Au1 0.352 0.648 0.500
Au2 0.500 0.500 0.500
Au3 0.648 0.352 0.500

***

Winner for stability: 1

***

1 | First-principles (PBE) data for crystalline TmPd3Au6 at its relaxed geometry, as listed in Alexandria.

Output
Space-group type: P2_1/m (11)
Magnetization (Bohr magnetons per cell): 0.00

a = 7.705 Å, b = 4.845 Å, c = 10.038 Å
α = 90.00°, β = 108.18°, γ = 90.00°
Atoms (fractional coordinates):
Tm1 0.200 0.250 0.133
Tm2 0.800 0.750 0.867
Pd1 0.006 0.250 0.334
Pd2 0.203 0.750 0.465
Pd3 0.399 0.250 0.933
Pd4 0.601 0.750 0.067
Pd5 0.797 0.250 0.535
Pd6 0.994 0.750 0.666
Au1 0.003 0.250 0.826
Au2 0.191 0.250 0.626
Au3 0.206 0.750 0.962
Au4 0.392 0.750 0.762
Au5 0.398 0.250 0.436
Au6 0.405 0.750 0.268
Au7 0.595 0.250 0.732
Au8 0.602 0.750 0.564
Au9 0.608 0.250 0.238
Au10 0.794 0.250 0.038
Au11 0.809 0.750 0.374
Au12 0.997 0.750 0.174

***

2 | First-principles (PBE) data for crystalline TmPd3Au6 at its relaxed geometry, as listed in Alexandria.

Output
Space-group type: Cmc2_1 (36)
Magnetization (Bohr magnetons per cell): 0.00

a = 9.611 Å, b = 9.611 Å, c = 5.345 Å
α = 90.00°, β = 90.00°, γ = 131.82°
Atoms (fractional coordinates):
Tm1 0.154 0.846 0.500
Tm2 0.846 0.154 0.000
Pd1 0.058 0.298 0.497
Pd2 0.298 0.058 0.997
Pd3 0.397 0.603 0.700
Pd4 0.603 0.397 0.200
Pd5 0.702 0.942 0.497
Pd6 0.942 0.702 0.997
Au1 0.005 0.995 0.274
Au2 0.078 0.542 0.820
Au3 0.281 0.353 0.075
Au4 0.325 0.675 0.242
Au5 0.353 0.281 0.575
Au6 0.458 0.922 0.820
Au7 0.542 0.078 0.320
Au8 0.647 0.719 0.075
Au9 0.675 0.325 0.742
Au10 0.719 0.647 0.575
Au11 0.922 0.458 0.320
Au12 0.995 0.005 0.774

***

Winner for stability: 1

***

1 | First-principles (PBE) data for crystalline Tm3PdAu at its relaxed geometry, as listed in Alexandria.

Output
Space-group type: Pmmn (59)
Magnetization (Bohr magnetons per cell): 0.00

a = 4.083 Å, b = 7.060 Å, c = 8.786 Å
α = 90.00°, β = 90.00°, γ = 90.00°
Atoms (fractional coordinates):
Tm1 0.250 0.006 0.177
Tm2 0.250 0.250 0.557
Tm3 0.250 0.494 0.177
Tm4 0.750 0.506 0.823
Tm5 0.750 0.750 0.443
Tm6 0.750 0.994 0.823
Pd1 0.250 0.250 0.913
Pd2 0.750 0.750 0.087
Au1 0.250 0.750 0.671
Au2 0.750 0.250 0.329

***

2 | First-principles (PBE) data for crystalline Tm3PdAu at its relaxed geometry, as listed in Alexandria.

Output
Space-group type: Cmcm (63)
Magnetization (Bohr magnetons per cell): 0.00

a = 9.950 Å, b = 9.950 Å, c = 4.963 Å
α = 90.00°, β = 90.00°, γ = 151.16°
Atoms (fractional coordinates):
Tm1 0.069 0.931 0.750
Tm2 0.250 0.750 0.750
Tm3 0.430 0.570 0.750
Tm4 0.570 0.430 0.250
Tm5 0.750 0.250 0.250
Tm6 0.931 0.069 0.250
Pd1 0.159 0.841 0.250
Pd2 0.841 0.159 0.750
Au1 0.342 0.658 0.250
Au2 0.658 0.342 0.750

***

Winner for stability: 2